A plane-wave DFT calculation with PBEsol was carried out for LiP2O2 after structural relaxation.

- Total DFT energy (no corrections): -4.96 eV/atom
- Crystal system: tetragonal
- Symmetry: I4/mmm

Cell lengths 6.4684, 6.4684, 6.4684 Å; angles 152.47, 152.47, 39.32 degrees
Closest atoms and distances in Å follow each position.
Element x y z (fractional)
Li1 0.0000 0.0000 0.0000  8 O 2.53
P1 0.2500 0.7500 0.5000  4 P 2.18, 4 O 2.33
P2 0.7500 0.2500 0.5000  4 P 2.18, 4 O 2.33
O1 0.3937 0.3937 0.0000  4 P 2.33, 4 Li 2.53, 1 O 2.59
O2 0.6063 0.6063 0.0000  4 P 2.33, 4 Li 2.53, 1 O 2.59

A plane-wave DFT calculation with PBEsol was carried out for LiP2O2 after structural relaxation.

- Total DFT energy (no corrections): -4.44 eV/atom
- Crystal system: tetragonal
- Symmetry: P4/mmm

Cell lengths 3.4872, 3.4872, 4.5204 Å; angles 90.00, 90.00, 90.00 degrees
Closest atoms and distances in Å follow each position.
Element x y z (fractional)
Li1 0.0000 0.0000 0.0000  4 O 1.74
P1 0.0000 0.0000 0.5000  2 Li 2.26, 4 P 2.47
P2 0.5000 0.5000 0.5000  4 P 2.47
O1 0.0000 0.5000 0.0000  2 Li 1.74
O2 0.5000 0.0000 0.0000  2 Li 1.74

A plane-wave DFT calculation with PBEsol was carried out for LiPO3 after structural relaxation.

- Total DFT energy (no corrections): -6.42 eV/atom
- Crystal system: cubic
- Symmetry: Pm-3m

Cell lengths 3.3677, 3.3677, 3.3677 Å; angles 90.00, 90.00, 90.00 degrees
Closest atoms and distances in Å follow each position.
Element x y z (fractional)
Li1 0.0000 0.0000 0.0000  12 O 2.38
P1 0.5000 0.5000 0.5000  6 O 1.68
O1 0.0000 0.5000 0.5000  2 P 1.68
O2 0.5000 0.0000 0.5000  2 P 1.68
O3 0.5000 0.5000 0.0000  2 P 1.68

A plane-wave DFT calculation with PBEsol was carried out for LiP3PbO9 after structural relaxation.

- Total DFT energy (no corrections): -7.16 eV/atom
- Crystal system: triclinic
- Symmetry: P-1

Cell lengths 6.7740, 7.2491, 7.4347 Å; angles 83.58, 79.70, 82.10 degrees
Closest atoms and distances in Å follow each position.
Element x y z (fractional)
Li1 0.0394 0.1727 0.1708  4 O 1.98-2.12
Li2 0.9606 0.8273 0.8292  4 O 1.98-2.12
P1 0.0881 0.6121 0.2142  4 O 1.49-1.62
P2 0.2677 0.8425 0.4394  4 O 1.49-1.63
P3 0.3493 0.2810 0.7737  4 O 1.50-1.61
P4 0.6507 0.7190 0.2263  4 O 1.50-1.61
P5 0.7323 0.1575 0.5606  4 O 1.49-1.63
P6 0.9119 0.3879 0.7858  4 O 1.49-1.62
Pb1 0.4771 0.7700 0.8486  8 O 2.50-2.71
Pb2 0.5229 0.2300 0.1514  8 O 2.50-2.71
O1 0.1269 0.7478 0.0469  1 P 1.50
O2 0.1461 0.4072 0.2005  1 P 1.49
O3 0.1486 0.3565 0.6949  2 P 1.58-1.62
O4 0.1799 0.6671 0.3829  2 P 1.60-1.61
O5 0.2057 0.8499 0.6424  1 P 1.50
O6 0.2345 0.0115 0.3091  1 P 1.49
O7 0.3230 0.1120 0.9098  1 P 1.51
O8 0.4382 0.4324 0.8441  1 P 1.50
O9 0.4897 0.2261 0.5834  2 P 1.61-1.63
O10 0.5103 0.7739 0.4166  2 P 1.61-1.63
O11 0.5618 0.5676 0.1559  1 P 1.50
O12 0.6770 0.8880 0.0902  1 P 1.51
O13 0.7655 0.9885 0.6909  1 P 1.49
O14 0.7943 0.1501 0.3576  1 P 1.50
O15 0.8201 0.3329 0.6171  2 P 1.60-1.61
O16 0.8514 0.6435 0.3051  2 P 1.58-1.62
O17 0.8539 0.5928 0.7995  1 P 1.49
O18 0.8731 0.2522 0.9531  1 P 1.50

A plane-wave DFT calculation with PBEsol was carried out for Li2P2PdO7 after structural relaxation.

- Total DFT energy (no corrections): -6.85 eV/atom
- Crystal system: orthorhombic
- Symmetry: Imma

Cell lengths 8.1004, 8.1004, 8.1004 Å; angles 133.86, 72.73, 127.16 degrees
Closest atoms and distances in Å follow each position.
Element x y z (fractional)
Li1 0.2714 0.0000 0.7714  4 O 1.93-2.01
Li2 0.2714 0.5000 0.2714  4 O 1.93-2.01
Li3 0.7286 0.0000 0.2286  4 O 1.93-2.01
Li4 0.7286 0.5000 0.7286  4 O 1.93-2.01
P1 0.0884 0.4482 0.6401  4 O 1.50-1.61
P2 0.3081 0.4482 0.8599  4 O 1.50-1.61
P3 0.6919 0.5518 0.1401  4 O 1.50-1.61
P4 0.9116 0.5518 0.3599  4 O 1.50-1.61
Pd1 0.5000 0.0000 0.0000  4 O 2.01
Pd2 0.5000 0.5000 0.5000  4 O 2.01
O1 0.0958 0.3458 0.7500  2 P 1.61
O2 0.1400 0.6981 0.4419  1 P 1.50
O3 0.2027 0.3633 0.4321  1 P 1.55
O4 0.2027 0.7706 0.8394  1 P 1.55
O5 0.2439 0.3019 0.9419  1 P 1.50
O6 0.4312 0.3633 0.6606  1 P 1.55
O7 0.4312 0.7706 0.0679  1 P 1.55
O8 0.5688 0.2294 0.9321  1 P 1.55
O9 0.5688 0.6367 0.3394  1 P 1.55
O10 0.7561 0.6981 0.0581  1 P 1.50
O11 0.7973 0.2294 0.1606  1 P 1.55
O12 0.7973 0.6367 0.5679  1 P 1.55
O13 0.8600 0.3019 0.5581  1 P 1.50
O14 0.9042 0.6542 0.2500  2 P 1.61

A plane-wave DFT calculation with PBEsol was carried out for RbLiPO2 after structural relaxation.

- Total DFT energy (no corrections): -2.90 eV/atom
- Crystal system: tetragonal
- Symmetry: P4/mmm

Cell lengths 4.8511, 4.8511, 6.1104 Å; angles 90.00, 90.00, 90.00 degrees
Closest atoms and distances in Å follow each position.
Element x y z (fractional)
Rb1 0.0000 0.0000 0.0000  4 O 2.43
Li1 0.5000 0.5000 0.5000  4 P 3.43
P1 0.0000 0.0000 0.5000  2 Rb 3.06
O1 0.0000 0.5000 0.0000  2 Rb 2.43
O2 0.5000 0.0000 0.0000  2 Rb 2.43

A plane-wave DFT calculation with PBEsol was carried out for LiP4Ru2O14 after structural relaxation.

- Total DFT energy (no corrections): -7.48 eV/atom
- Crystal system: triclinic
- Symmetry: P-1

Cell lengths 4.7969, 6.8030, 8.0586 Å; angles 91.56, 91.66, 107.35 degrees
Closest atoms and distances in Å follow each position.
Element x y z (fractional)
Li1 0.0000 0.0000 0.0000  2 O 2.04
P1 0.0320 0.6459 0.7650  4 O 1.51-1.59
P2 0.3883 0.7589 0.3066  4 O 1.52-1.61
P3 0.6117 0.2411 0.6934  4 O 1.52-1.61
P4 0.9680 0.3541 0.2350  4 O 1.51-1.59
Ru1 0.0000 0.0000 0.5000  6 O 1.96-1.99
Ru2 0.5000 0.5000 0.0000  6 O 1.94-2.04
O1 0.1279 0.2999 0.0837  1 P 1.55
O2 0.1454 0.8306 0.6589  1 P 1.51
O3 0.1905 0.8999 0.3126  1 P 1.54
O4 0.1954 0.5286 0.3464  2 P 1.59-1.61
O5 0.2836 0.5626 0.8116  1 P 1.52
O6 0.3728 0.2095 0.5578  1 P 1.52
O7 0.4882 0.7583 0.1266  1 P 1.54
O8 0.5118 0.2417 0.8734  1 P 1.54
O9 0.6272 0.7905 0.4422  1 P 1.52
O10 0.7164 0.4374 0.1884  1 P 1.52
O11 0.8046 0.4714 0.6536  2 P 1.59-1.61
O12 0.8095 0.1001 0.6874  1 P 1.54
O13 0.8546 0.1694 0.3411  1 P 1.51
O14 0.8721 0.7001 0.9163  1 P 1.55

A plane-wave DFT calculation with PBEsol was carried out for LiPSO2 after structural relaxation.

- Total DFT energy (no corrections): -4.10 eV/atom
- Crystal system: tetragonal
- Symmetry: P4/mmm

Cell lengths 3.4630, 3.4630, 5.3514 Å; angles 90.00, 90.00, 90.00 degrees
Closest atoms and distances in Å follow each position.
Element x y z (fractional)
Li1 0.0000 0.0000 0.0000  4 O 1.73
P1 0.0000 0.0000 0.5000  4 S 2.45, 2 Li 2.68
S1 0.5000 0.5000 0.5000  4 P 2.45
O1 0.0000 0.5000 0.0000  2 Li 1.73
O2 0.5000 0.0000 0.0000  2 Li 1.73

A plane-wave DFT calculation with PBEsol was carried out for LiSbPO5 after structural relaxation.

- Total DFT energy (no corrections): -6.75 eV/atom
- Crystal system: triclinic
- Symmetry: P1

Cell lengths 8.3317, 10.0857, 10.4779 Å; angles 80.31, 71.35, 69.04 degrees
Closest atoms and distances in Å follow each position.
Element x y z (fractional)
Li1 0.0000 0.0000 0.0000  4 O 1.92-2.09
Li2 0.0318 0.9317 0.2963  4 O 1.94-2.15
Li3 0.3065 0.3187 0.0471  4 O 1.87-2.09
Li4 0.3725 0.1205 0.4757  4 O 1.97-2.08
Li5 0.5299 0.5871 0.3731  3 O 2.00-2.11
Li6 0.5654 0.3759 0.7039  2 O 1.92-1.98
Li7 0.7338 0.6693 0.0837  3 O 1.88-1.93
Li8 0.7812 0.7899 0.6880  4 O 1.95-2.17
Sb1 0.0552 0.0089 0.5677  6 O 2.16-2.37
Sb2 0.1703 0.6228 0.6734  6 O 1.91-2.11
Sb3 0.2459 0.2372 0.7904  5 O 2.13-2.32
Sb4 0.3959 0.8751 0.9451  6 O 1.90-2.07
Sb5 0.5408 0.4913 0.0337  5 O 2.12-2.31
Sb6 0.6673 0.1270 0.1699  6 O 1.88-2.08
Sb7 0.8096 0.7493 0.3188  3 O 2.08-2.25
Sb8 0.9567 0.3697 0.4025  6 O 1.92-2.09
P1 0.1251 0.6798 0.0004  4 O 1.54-1.57
P2 0.2244 0.5613 0.3423  4 O 1.55-1.56
P3 0.4051 0.9213 0.2565  4 O 1.53-1.58
P4 0.4606 0.7973 0.6282  4 O 1.53-1.58
P5 0.6489 0.0787 0.8618  4 O 1.51-1.59
P6 0.6920 0.1794 0.4669  4 O 1.50-1.59
P7 0.8729 0.4594 0.7150  4 O 1.51-1.58
P8 0.9385 0.3232 0.0953  4 O 1.53-1.57
O1 0.0225 0.8008 0.6129  1 Sb 1.92, 1 Li 1.95
O2 0.0785 0.7060 0.3283  1 P 1.55
O3 0.0985 0.7084 0.8573  1 P 1.55
O4 0.1118 0.3252 0.9823  1 P 1.55
O5 0.1134 0.1974 0.4646  1 Sb 1.92, 1 Li 2.05
O6 0.1692 0.4400 0.3144  1 P 1.55
O7 0.1776 0.8039 0.0298  1 P 1.57
O8 0.2160 0.0432 0.9056  1 Sb 1.91, 1 Li 1.92
O9 0.2288 0.9223 0.3630  1 P 1.53
O10 0.2631 0.5418 0.4812  1 P 1.56
O11 0.2700 0.5368 0.0166  1 P 1.54
O12 0.3031 0.4392 0.7330  1 Sb 1.91, 1 Li 1.98
O13 0.3484 0.9447 0.5830  1 P 1.54
O14 0.3645 0.9658 0.1174  1 P 1.56
O15 0.4018 0.6789 0.5917  1 P 1.58
O16 0.4073 0.5565 0.2400  1 P 1.55
O17 0.4254 0.7793 0.7836  1 P 1.55
O18 0.4728 0.2057 0.8875  1 P 1.54
O19 0.4747 0.0357 0.2868  1 P 1.58
O20 0.4887 0.2895 0.1275  1 Li 1.87, 1 Sb 1.88
O21 0.5296 0.1546 0.5689  1 P 1.50
O22 0.5524 0.7747 0.2556  1 P 1.55
O23 0.5536 0.7015 0.0003  1 Li 1.88, 1 Sb 1.90
O24 0.6105 0.9416 0.8399  1 P 1.59
O25 0.6485 0.2252 0.3284  1 P 1.56
O26 0.6606 0.7699 0.5633  1 P 1.53
O27 0.6743 0.4806 0.7675  1 P 1.51
O28 0.7243 0.0394 0.9880  1 P 1.57
O29 0.7301 0.3101 0.5024  1 P 1.59
O30 0.7874 0.1093 0.7375  1 P 1.51
O31 0.7883 0.4658 0.1018  1 P 1.53
O32 0.7912 0.5459 0.3491  2 Sb 1.94-2.08, 1 Li 2.00
O33 0.8591 0.9631 0.1973  1 Sb 1.90, 2 Li 1.94-2.07
O34 0.8670 0.0490 0.4504  1 P 1.56
O35 0.8756 0.2069 0.0657  1 P 1.55
O36 0.9227 0.5846 0.7484  1 P 1.58
O37 0.9343 0.4696 0.5581  1 P 1.55
O38 0.9426 0.6874 0.1035  1 P 1.54
O39 0.9800 0.3172 0.7730  1 P 1.54
O40 0.9994 0.2814 0.2275  1 P 1.57

A plane-wave DFT calculation with PBEsol was carried out for LiSbP4O12 after structural relaxation.

- Total DFT energy (no corrections): -7.16 eV/atom
- Crystal system: monoclinic
- Symmetry: C2/c

Cell lengths 8.8172, 8.8172, 9.6974 Å; angles 120.80, 120.80, 48.86 degrees
Closest atoms and distances in Å follow each position.
Element x y z (fractional)
Li1 0.0000 0.0000 0.0000  2 O 1.97
Li2 0.0000 0.0000 0.5000  2 O 1.97
Sb1 0.2714 0.7286 0.7500  6 O 2.15-2.40
Sb2 0.7286 0.2714 0.2500  6 O 2.15-2.40
P1 0.0313 0.6614 0.9017  4 O 1.48-1.62
P2 0.2979 0.4339 0.3395  4 O 1.51-1.59
P3 0.3386 0.9687 0.5983  4 O 1.48-1.62
P4 0.4339 0.2979 0.8395  4 O 1.51-1.59
P5 0.5661 0.7021 0.1605  4 O 1.51-1.59
P6 0.6614 0.0313 0.4017  4 O 1.48-1.62
P7 0.7021 0.5661 0.6605  4 O 1.51-1.59
P8 0.9687 0.3386 0.0983  4 O 1.48-1.62
O1 0.0144 0.7300 0.7770  1 P 1.51
O2 0.0257 0.8087 0.0709  1 P 1.48
O3 0.1449 0.3878 0.1660  2 P 1.59-1.61
O4 0.1755 0.6238 0.4622  1 P 1.51
O5 0.1913 0.9743 0.4291  1 P 1.48
O6 0.2373 0.4288 0.9076  2 P 1.59-1.62
O7 0.2700 0.9856 0.7230  1 P 1.51
O8 0.3762 0.8245 0.0378  1 P 1.51
O9 0.3878 0.1449 0.6660  2 P 1.59-1.61
O10 0.4288 0.2373 0.4076  2 P 1.59-1.62
O11 0.4330 0.4454 0.2985  1 P 1.51
O12 0.4454 0.4330 0.7985  1 P 1.51
O13 0.5546 0.5670 0.2015  1 P 1.51
O14 0.5670 0.5546 0.7015  1 P 1.51
O15 0.5712 0.7627 0.5924  2 P 1.59-1.62
O16 0.6122 0.8551 0.3340  2 P 1.59-1.61
O17 0.6238 0.1755 0.9622  1 P 1.51
O18 0.7300 0.0144 0.2770  1 P 1.51
O19 0.7627 0.5712 0.0924  2 P 1.59-1.62
O20 0.8087 0.0257 0.5709  1 P 1.48
O21 0.8245 0.3762 0.5378  1 P 1.51
O22 0.8551 0.6122 0.8340  2 P 1.59-1.61
O23 0.9743 0.1913 0.9291  1 P 1.48
O24 0.9856 0.2700 0.2230  1 P 1.51

A plane-wave DFT calculation with PBEsol was carried out for LiSbP2O7 after structural relaxation.

- Total DFT energy (no corrections): -7.05 eV/atom
- Crystal system: monoclinic
- Symmetry: P2_1/c

Cell lengths 8.0657, 4.9462, 14.1166 Å; angles 90.00, 110.16, 90.00 degrees
Closest atoms and distances in Å follow each position.
Element x y z (fractional)
Li1 0.0845 0.2339 0.2017  5 O 1.99-2.19
Li2 0.0845 0.2661 0.7017  5 O 1.99-2.19
Li3 0.9155 0.7339 0.2983  5 O 1.99-2.19
Li4 0.9155 0.7661 0.7983  5 O 1.99-2.19
Sb1 0.2536 0.2468 0.4622  4 O 2.16-2.36
Sb2 0.2536 0.2532 0.9622  4 O 2.16-2.36
Sb3 0.7464 0.7468 0.0378  4 O 2.16-2.36
Sb4 0.7464 0.7532 0.5378  4 O 2.16-2.36
P1 0.1882 0.7367 0.1035  4 O 1.53-1.60
P2 0.1882 0.7633 0.6035  4 O 1.53-1.60
P3 0.3007 0.7381 0.8207  4 O 1.50-1.63
P4 0.3007 0.7619 0.3207  4 O 1.50-1.63
P5 0.6993 0.2381 0.6793  4 O 1.50-1.63
P6 0.6993 0.2619 0.1793  4 O 1.50-1.63
P7 0.8118 0.2367 0.3965  4 O 1.53-1.60
P8 0.8118 0.2633 0.8965  4 O 1.53-1.60
O1 0.0173 0.6186 0.6012  1 P 1.54
O2 0.0173 0.8814 0.1012  1 P 1.54
O3 0.1382 0.5649 0.8158  1 P 1.55
O4 0.1382 0.9351 0.3158  1 P 1.55
O5 0.1616 0.0691 0.5915  1 P 1.53
O6 0.1616 0.4309 0.0915  1 P 1.53
O7 0.2577 0.0412 0.8244  1 P 1.54
O8 0.2577 0.4588 0.3244  1 P 1.54
O9 0.2693 0.6428 0.5295  1 P 1.53
O10 0.2693 0.8572 0.0295  1 P 1.53
O11 0.3283 0.6959 0.7129  2 P 1.60-1.63
O12 0.3283 0.8041 0.2129  2 P 1.60-1.63
O13 0.4675 0.6429 0.9001  1 P 1.50
O14 0.4675 0.8571 0.4001  1 P 1.50
O15 0.5325 0.1429 0.5999  1 P 1.50
O16 0.5325 0.3571 0.0999  1 P 1.50
O17 0.6717 0.1959 0.7871  2 P 1.60-1.63
O18 0.6717 0.3041 0.2871  2 P 1.60-1.63
O19 0.7307 0.1428 0.9705  1 P 1.53
O20 0.7307 0.3572 0.4705  1 P 1.53
O21 0.7423 0.5412 0.6756  1 P 1.54
O22 0.7423 0.9588 0.1756  1 P 1.54
O23 0.8384 0.5691 0.9085  1 P 1.53
O24 0.8384 0.9309 0.4085  1 P 1.53
O25 0.8618 0.0649 0.6842  1 P 1.55
O26 0.8618 0.4351 0.1842  1 P 1.55
O27 0.9827 0.1186 0.8988  1 P 1.54
O28 0.9827 0.3814 0.3988  1 P 1.54

A plane-wave DFT calculation with PBEsol was carried out for LiSbP2O7 after structural relaxation.

- Total DFT energy (no corrections): -7.05 eV/atom
- Crystal system: monoclinic
- Symmetry: P2_1

Cell lengths 4.7883, 8.8614, 7.4569 Å; angles 90.00, 106.11, 90.00 degrees
Closest atoms and distances in Å follow each position.
Element x y z (fractional)
Li1 0.1909 0.0000 0.1514  3 O 1.87-1.97
Li2 0.8091 0.5000 0.8486  3 O 1.87-1.97
Sb1 0.2045 0.3469 0.2265  3 O 2.07-2.19
Sb2 0.7955 0.8469 0.7735  3 O 2.07-2.19
P1 0.2025 0.0410 0.5785  4 O 1.50-1.62
P2 0.4188 0.6699 0.0712  4 O 1.51-1.61
P3 0.5812 0.1699 0.9288  4 O 1.51-1.61
P4 0.7975 0.5410 0.4215  4 O 1.50-1.62
O1 0.0994 0.5326 0.3897  1 P 1.53
O2 0.2013 0.0860 0.3840  1 P 1.50
O3 0.2328 0.5222 0.0383  1 P 1.56
O4 0.2339 0.8103 0.0524  1 P 1.51
O5 0.3619 0.8895 0.6447  1 P 1.56
O6 0.3808 0.1674 0.0564  1 P 1.53
O7 0.3849 0.1701 0.7152  2 P 1.61-1.62
O8 0.6151 0.6701 0.2848  2 P 1.61-1.62
O9 0.6192 0.6674 0.9436  1 P 1.53
O10 0.6381 0.3895 0.3553  1 P 1.56
O11 0.7661 0.3103 0.9476  1 P 1.51
O12 0.7672 0.0222 0.9617  1 P 1.56
O13 0.7987 0.5860 0.6160  1 P 1.50
O14 0.9006 0.0326 0.6103  1 P 1.53

no.,spin magnetization (μB per formula unit)
1,0.00
2,1.24
3,0.00
4,0.00
5,0.00
6,5.00
7,3.01
8,2.90
9,0.00
10,0.00
11,0.00
12,0.00